1.
Material: Pr4CoAg
Method: DFT, PBE
State: optimized geometry

formation enthalpy at 0 K = -0.086 eV per atom
excess energy over the best structure of this formula in the dataset = 0.00 eV/f.u.
magnetic moment = 0.00 μB per formula unit

a b c (Å): 6.2375 7.0676 8.4586
angles (deg): 90.00 110.89 90.00
Closest atoms and distances in Å follow each position.
Element x y z (fractional)
1 Pr 0.0222 0.0050 0.2191  2 Co 2.81-2.89
2 Pr 0.0222 0.4950 0.2191  2 Co 2.81-2.89
3 Pr 0.4170 0.2500 0.6306  1 Co 2.77
4 Pr 0.4408 0.2500 0.0835  1 Co 2.76, 1 Ag 3.08
5 Pr 0.5592 0.7500 0.9165  1 Co 2.76, 1 Ag 3.08
6 Pr 0.5830 0.7500 0.3694  1 Co 2.77
7 Pr 0.9778 0.5050 0.7809  2 Co 2.81-2.89
8 Pr 0.9778 0.9950 0.7809  2 Co 2.81-2.89
9 Co 0.2254 0.7500 0.0595  6 Pr 2.76-2.89
10 Co 0.7746 0.2500 0.9405  6 Pr 2.76-2.89
11 Ag 0.2083 0.7500 0.5520  6 Pr 3.08-3.29
12 Ag 0.7917 0.2500 0.4480  6 Pr 3.08-3.29

---

2.
Material: TbMgPd6
Method: DFT, PBE
State: optimized geometry

formation enthalpy at 0 K = -0.660 eV per atom
magnetic moment = 0.00 μB per formula unit

a b c (Å): 4.0732 4.0732 8.0379
angles (deg): 90.00 90.00 90.00
Closest atoms and distances in Å follow each position.
Element x y z (fractional)
1 Tb 0.0000 0.0000 0.0000  12 Pd 2.88-2.92
2 Mg 0.0000 0.0000 0.5000  12 Pd 2.80-2.88
3 Pd 0.0000 0.5000 0.2607  2 Mg 2.80, 8 Pd 2.80-2.92, 2 Tb 2.92
4 Pd 0.0000 0.5000 0.7393  2 Mg 2.80, 8 Pd 2.80-2.92, 2 Tb 2.92
5 Pd 0.5000 0.0000 0.2607  2 Mg 2.80, 8 Pd 2.80-2.92, 2 Tb 2.92
6 Pd 0.5000 0.0000 0.7393  2 Mg 2.80, 8 Pd 2.80-2.92, 2 Tb 2.92
7 Pd 0.5000 0.5000 0.0000  4 Tb 2.88, 8 Pd 2.92
8 Pd 0.5000 0.5000 0.5000  8 Pd 2.80, 4 Mg 2.88

---

3.
Material: La2ScCl
Method: DFT, PBE
State: optimized geometry

excess energy over the best structure of this formula in the dataset = 2.21 eV/f.u.
magnetic moment = 0.00 μB per formula unit
ΔE_f (raw) = -0.078 eV per atom

a b c (Å): 7.8504 7.8504 7.8504
angles (deg): 90.00 90.00 90.00
Closest atoms and distances in Å follow each position.
Element x y z (fractional)
1 La 0.2500 0.2500 0.2500  4 Sc 3.40, 4 Cl 3.40
2 La 0.2500 0.2500 0.7500  4 Cl 3.40, 4 Sc 3.40
3 La 0.2500 0.7500 0.2500  4 Cl 3.40, 4 Sc 3.40
4 La 0.2500 0.7500 0.7500  4 Sc 3.40, 4 Cl 3.40
5 La 0.7500 0.2500 0.2500  4 Cl 3.40, 4 Sc 3.40
6 La 0.7500 0.2500 0.7500  4 Sc 3.40, 4 Cl 3.40
7 La 0.7500 0.7500 0.2500  4 Sc 3.40, 4 Cl 3.40
8 La 0.7500 0.7500 0.7500  4 Cl 3.40, 4 Sc 3.40
9 Sc 0.0000 0.0000 0.0000  8 La 3.40
10 Sc 0.0000 0.5000 0.5000  8 La 3.40
11 Sc 0.5000 0.0000 0.5000  8 La 3.40
12 Sc 0.5000 0.5000 0.0000  8 La 3.40
13 Cl 0.0000 0.0000 0.5000  8 La 3.40
14 Cl 0.0000 0.5000 0.0000  8 La 3.40
15 Cl 0.5000 0.0000 0.0000  8 La 3.40
16 Cl 0.5000 0.5000 0.5000  8 La 3.40

---

4.
Material: PaAsPd2
Method: DFT, PBE
State: optimized geometry

formation enthalpy at 0 K = -0.556 eV per atom
excess energy over the best structure of this formula in the dataset = 0.08 eV/f.u.
magnetic moment = 0.00 μB per formula unit

a b c (Å): 6.7258 6.7258 6.7258
angles (deg): 90.00 90.00 90.00
Closest atoms and distances in Å follow each position.
Element x y z (fractional)
1 Pa 0.0000 0.0000 0.0000  8 Pd 2.91
2 Pa 0.0000 0.5000 0.5000  8 Pd 2.91
3 Pa 0.5000 0.0000 0.5000  8 Pd 2.91
4 Pa 0.5000 0.5000 0.0000  8 Pd 2.91
5 As 0.0000 0.0000 0.5000  8 Pd 2.91
6 As 0.0000 0.5000 0.0000  8 Pd 2.91
7 As 0.5000 0.0000 0.0000  8 Pd 2.91
8 As 0.5000 0.5000 0.5000  8 Pd 2.91
9 Pd 0.2500 0.2500 0.2500  4 As 2.91, 4 Pa 2.91
10 Pd 0.2500 0.2500 0.7500  4 As 2.91, 4 Pa 2.91
11 Pd 0.2500 0.7500 0.2500  4 As 2.91, 4 Pa 2.91
12 Pd 0.2500 0.7500 0.7500  4 As 2.91, 4 Pa 2.91
13 Pd 0.7500 0.2500 0.2500  4 As 2.91, 4 Pa 2.91
14 Pd 0.7500 0.2500 0.7500  4 As 2.91, 4 Pa 2.91
15 Pd 0.7500 0.7500 0.2500  4 As 2.91, 4 Pa 2.91
16 Pd 0.7500 0.7500 0.7500  4 Pa 2.91, 4 As 2.91

---

5.
Material: ZrTlRe2Te
Method: DFT, PBE
State: optimized geometry

magnetic moment = 0.01 μB per formula unit
ΔE_f (raw) = 1.928 eV per atom

a b c (Å): 4.8327 4.8327 5.4622
angles (deg): 90.00 90.00 90.00
Closest atoms and distances in Å follow each position.
Element x y z (fractional)
1 Zr 0.0000 0.0000 0.0000  4 Tl 3.42, 8 Re 3.65
2 Tl 0.5000 0.5000 0.0000  2 Te 2.73
3 Re 0.0000 0.5000 0.5000  2 Te 2.42
4 Re 0.5000 0.0000 0.5000  2 Te 2.42
5 Te 0.5000 0.5000 0.5000  4 Re 2.42

---

6.
Material: Li2MgRe
Method: DFT, PBE
State: optimized geometry

formation enthalpy at 0 K = 0.614 eV per atom
excess energy over the best structure of this formula in the dataset = 1.66 eV/f.u.
magnetic moment = 0.00 μB per formula unit

a b c (Å): 3.8903 3.8903 4.0020
angles (deg): 90.00 90.00 90.00
Closest atoms and distances in Å follow each position.
Element x y z (fractional)
1 Li 0.0000 0.5000 0.0000  4 Li 2.75, 4 Re 2.79, 4 Mg 2.79
2 Li 0.5000 0.0000 0.0000  4 Li 2.75, 4 Re 2.79, 4 Mg 2.79
3 Mg 0.0000 0.0000 0.5000  4 Re 2.75, 8 Li 2.79
4 Re 0.5000 0.5000 0.5000  4 Mg 2.75, 8 Li 2.79

---

7.
Material: Mg5CuNi4
Method: DFT, PBE
State: optimized geometry

formation enthalpy at 0 K = -0.135 eV per atom
magnetic moment = 0.00 μB per formula unit

a b c (Å): 3.0362 3.0362 15.6475
angles (deg): 90.00 90.00 90.00
Closest atoms and distances in Å follow each position.
Element x y z (fractional)
1 Mg 0.0000 0.0000 0.0000  8 Ni 2.63
2 Mg 0.0000 0.0000 0.1953  8 Ni 2.63-2.64
3 Mg 0.0000 0.0000 0.3918  4 Ni 2.65, 4 Cu 2.73
4 Mg 0.0000 0.0000 0.6082  4 Ni 2.65, 4 Cu 2.73
5 Mg 0.0000 0.0000 0.8047  8 Ni 2.63-2.64
6 Cu 0.5000 0.5000 0.5000  8 Mg 2.73, 4 Cu 3.04
7 Ni 0.5000 0.5000 0.0971  8 Mg 2.63-2.64
8 Ni 0.5000 0.5000 0.2927  8 Mg 2.63-2.65
9 Ni 0.5000 0.5000 0.7073  8 Mg 2.63-2.65
10 Ni 0.5000 0.5000 0.9029  8 Mg 2.63-2.64

---

8.
Material: DyTePb2O6
Method: DFT, PBE
State: optimized geometry

magnetic moment = 0.00 μB per formula unit
ΔE_f (raw) = -1.644 eV per atom

a b c (Å): 5.9413 6.0352 10.3542
angles (deg): 90.00 124.96 90.00
Closest atoms and distances in Å follow each position.
Element x y z (fractional)
1 Dy 0.0000 0.0000 0.0000  6 O 2.27
2 Dy 0.0000 0.5000 0.5000  6 O 2.27
3 Te 0.5000 0.0000 0.5000  6 O 2.09
4 Te 0.5000 0.5000 0.0000  6 O 2.09
5 Pb 0.2448 0.0304 0.7511  4 O 2.54-2.76
6 Pb 0.2448 0.4696 0.2511  4 O 2.54-2.76
7 Pb 0.7552 0.5304 0.7489  4 O 2.54-2.76
8 Pb 0.7552 0.9696 0.2489  4 O 2.54-2.76
9 O 0.1754 0.1970 0.4583  1 Te 2.09, 1 Dy 2.27
10 O 0.1754 0.3030 0.9583  1 Te 2.09, 1 Dy 2.27
11 O 0.2649 0.7172 0.4578  1 Te 2.09, 1 Dy 2.27
12 O 0.2649 0.7828 0.9578  1 Te 2.09, 1 Dy 2.27
13 O 0.3440 0.0215 0.2609  1 Te 2.09, 1 Dy 2.27
14 O 0.3440 0.4785 0.7609  1 Te 2.09, 1 Dy 2.27
15 O 0.6560 0.5215 0.2391  1 Te 2.09, 1 Dy 2.27
16 O 0.6560 0.9785 0.7391  1 Te 2.09, 1 Dy 2.27
17 O 0.7351 0.2172 0.0422  1 Te 2.09, 1 Dy 2.27
18 O 0.7351 0.2828 0.5422  1 Te 2.09, 1 Dy 2.27
19 O 0.8246 0.6970 0.0417  1 Te 2.09, 1 Dy 2.27
20 O 0.8246 0.8030 0.5417  1 Te 2.09, 1 Dy 2.27

---

9.
Material: Si2TcNi
Method: DFT, PBE
State: optimized geometry

magnetic moment = 0.00 μB per formula unit
ΔE_f (raw) = -0.282 eV per atom

a b c (Å): 3.3834 4.1432 7.1329
angles (deg): 90.00 90.00 90.00
Closest atoms and distances in Å follow each position.
Element x y z (fractional)
1 Si 0.0000 0.0000 0.2361  2 Ni 2.39, 4 Tc 2.53-2.67
2 Si 0.0000 0.0000 0.7639  2 Ni 2.39, 4 Tc 2.53-2.67
3 Si 0.5000 0.5000 0.2639  2 Ni 2.39, 4 Tc 2.53-2.67
4 Si 0.5000 0.5000 0.7361  2 Ni 2.39, 4 Tc 2.53-2.67
5 Tc 0.0000 0.5000 0.0000  8 Si 2.53-2.67, 4 Ni 2.67
6 Tc 0.5000 0.0000 0.5000  8 Si 2.53-2.67, 4 Ni 2.67
7 Ni 0.0000 0.5000 0.5000  4 Si 2.39
8 Ni 0.5000 0.0000 0.0000  4 Si 2.39

---

10.
Material: PrThGeO
Method: DFT, PBE
State: optimized geometry

magnetic moment = 0.00 μB per formula unit
ΔE_f (raw) = -1.462 eV per atom

a b c (Å): 4.4667 4.4667 9.5426
angles (deg): 90.00 90.00 90.00
Closest atoms and distances in Å follow each position.
Element x y z (fractional)
1 Pr 0.2500 0.2500 0.1056  4 O 2.45
2 Pr 0.7500 0.7500 0.8944  4 O 2.45
3 Th 0.2500 0.7500 0.5000  4 Ge 3.01, 4 Th 3.16
4 Th 0.7500 0.2500 0.5000  4 Ge 3.01, 4 Th 3.16
5 Ge 0.2500 0.2500 0.7114  4 Th 3.01
6 Ge 0.7500 0.7500 0.2886  4 Th 3.01
7 O 0.2500 0.7500 0.0000  4 Pr 2.45
8 O 0.7500 0.2500 0.0000  4 Pr 2.45

---

11.
Material: CaHI2
Method: DFT, PBE
State: optimized geometry

calculated total energy = -0.2379 Ry/atom
magnetic moment = 0.00 μB per formula unit

a b c (Å): 15.4958 4.3409 8.5565
angles (deg): 90.00 120.78 90.00
Closest atoms and distances in Å follow each position.
Element x y z (fractional)
1 Ca 0.0000 0.0000 0.0000  2 H 3.03, 6 I 3.21-3.37
2 Ca 0.1680 0.5000 0.5489  2 H 2.62
3 Ca 0.5000 0.5000 0.0000  2 H 3.03, 6 I 3.21-3.37
4 Ca 0.6680 0.0000 0.5489  2 H 2.62
5 H 0.2834 0.4120 0.8993  1 H 0.76
6 H 0.2834 0.5880 0.8993  1 H 0.76
7 H 0.7834 0.0880 0.8993  1 H 0.76
8 H 0.7834 0.9120 0.8993  1 H 0.76
9 I 0.0905 0.0000 0.7046  3 Ca 3.09-3.46, 2 H 3.13
10 I 0.1776 0.5000 0.1832  3 Ca 3.21, 2 H 3.58
11 I 0.3521 0.0000 0.6684  2 H 3.22, 4 Ca 3.30-3.37
12 I 0.4417 0.0000 0.2138  2 H 3.11, 3 Ca 3.20-3.25
13 I 0.5905 0.5000 0.7046  3 Ca 3.09-3.46, 2 H 3.13
14 I 0.6776 0.0000 0.1832  3 Ca 3.21, 2 H 3.58
15 I 0.8521 0.5000 0.6684  2 H 3.22, 4 Ca 3.30-3.37
16 I 0.9417 0.5000 0.2138  2 H 3.11, 3 Ca 3.20-3.25

---

12.
Material: ScAgOs2
Method: DFT, PBE
State: optimized geometry

formation enthalpy at 0 K = 0.084 eV per atom
excess energy over the best structure of this formula in the dataset = 0.04 eV/f.u.
magnetic moment = 0.00 μB per formula unit

a b c (Å): 2.8650 2.8650 8.1323
angles (deg): 90.00 90.00 90.00
Closest atoms and distances in Å follow each position.
Element x y z (fractional)
1 Sc 0.0000 0.0000 0.0000  4 Sc 2.86, 4 Os 2.89, 4 Ag 3.06
2 Ag 0.5000 0.5000 0.2818  4 Ag 2.86, 4 Os 2.95, 4 Sc 3.06
3 Os 0.0000 0.0000 0.5457  8 Os 2.61-2.86
4 Os 0.5000 0.5000 0.7474  8 Os 2.61-2.86, 4 Sc 2.89